Record 1
A relaxed structure of InPd3O4. Source: OQMD via LeMat-Bulk, functional PBE.

```
InPd3O4
1.0
0.000 4.803 4.803
4.803 0.000 4.803
4.803 4.803 0.000
In Pd O
2 6 8
direct
0.000 0.000 0.000
0.500 0.500 0.500
0.000 0.000 0.500
0.000 0.500 0.000
0.000 0.500 0.500
0.500 0.000 0.000
0.500 0.000 0.500
0.500 0.500 0.000
0.138 0.138 0.138
0.138 0.138 0.585
0.138 0.585 0.138
0.415 0.862 0.862
0.585 0.138 0.138
0.862 0.415 0.862
0.862 0.862 0.415
0.862 0.862 0.862
```

Results
As for the crystal system: cubic. The volume comes out at 222 Å³ per cell. Its energy is -5.463 eV/atom. Its space-group type is Fm-3m.

=====

Record 2
A relaxed structure of PmInO3. Source: OQMD via LeMat-Bulk, functional PBE.

```
PmInO3
1.0
2.879 1.662 5.008
-2.879 1.662 5.008
0.000 -3.324 5.008
Pm In O
2 2 6
direct
0.134 0.134 0.134
0.866 0.866 0.866
0.353 0.353 0.353
0.647 0.647 0.647
0.051 0.726 0.466
0.274 0.534 0.949
0.466 0.051 0.726
0.534 0.949 0.274
0.726 0.466 0.051
0.949 0.274 0.534
```

Results
As for the crystal system: trigonal. The volume comes out at 144 Å³ per cell. Its energy is -6.898 eV/atom. Its space-group type is R-3.

=====

What did the second record say?
A relaxed structure of PmInO3. Source: OQMD via LeMat-Bulk, functional PBE.

```
PmInO3
1.0
2.879 1.662 5.008
-2.879 1.662 5.008
0.000 -3.324 5.008
Pm In O
2 2 6
direct
0.134 0.134 0.134
0.866 0.866 0.866
0.353 0.353 0.353
0.647 0.647 0.647
0.051 0.726 0.466
0.274 0.534 0.949
0.466 0.051 0.726
0.534 0.949 0.274
0.726 0.466 0.051
0.949 0.274 0.534
```

Results
As for the crystal system: trigonal. The volume comes out at 144 Å³ per cell. Its energy is -6.898 eV/atom. Its space-group type is R-3.

=====

Q: What is the formula in the second record?
A: PmInO3